Entry 1:
Compound: La2NiAgPb
Source: Alexandria
Functional: PBEsol
Structure: optimized geometry

Values from the calculation:
The formation energy is 0.66 eV/atom.

abc: 5.020 5.676 5.676
angles: 90.00 90.00 90.00
Each line ends with the local moment (μB).
Positions (direct):
Ag  0.000  0.000  0.000  0.01
Pb  0.500  0.000  0.000  0.01
La  0.000  0.500  0.000  -0.01
La  0.000  0.000  0.500  -0.01
Ni  0.500  0.500  0.500  0.34

=====

Entry 2:
Compound: La2NiAgS
Source: Alexandria
Functional: PBEsol
Structure: optimized geometry

Values from the calculation:
The value obtained for the uncorrected formation energy is -2.411 eV/f.u.

abc: 4.642 5.157 5.157
angles: 90.00 90.00 90.00
Positions (direct):
La  0.000  0.500  0.000
La  0.000  0.000  0.500
Ni  0.000  0.000  0.000
Ag  0.500  0.000  0.000
S  0.500  0.500  0.500

=====

Entry 3:
Compound: LaZrNiAg2
Source: Alexandria
Functional: PBEsol
Structure: optimized geometry

Values from the calculation:
The formation energy is 0.48 eV/atom.

abc: 4.575 5.152 5.152
angles: 90.00 90.00 90.00
Positions (direct):
Ag  0.000  0.500  0.000
Ni  0.500  0.000  0.000
Ag  0.000  0.000  0.500
Zr  0.000  0.000  0.000
La  0.500  0.500  0.500